ScTa2Au | meta-GGA SCAN | single point on PBEsol structure

a = 9.6241 Å, b = 9.6241 Å, c = 9.6241 Å
α = 17.90°, β = 17.90°, γ = 17.90°
With the nearest neighbours (Å) after each atom.
Element x y z (fractional)
Sc 0.0000 0.0000 0.0000  3 Au 2.93, 3 Ta 2.97, 6 Sc 2.99
Ta 0.2485 0.2485 0.2485  9 Ta 2.96-2.99, 3 Sc 2.97
Ta 0.4974 0.4974 0.4974  3 Au 2.87, 9 Ta 2.96-2.99
Au 0.7501 0.7501 0.7501  3 Ta 2.87, 3 Sc 2.93, 6 Au 2.99

As for the crystal system: trigonal. As for the symmetry: No. 160. Its total energy is -216.43 eV for the cell shown. The energy above the most stable polymorph in this dataset is 119 meV per atom.

=====

Li2Ca | meta-GGA SCAN | single point on PBEsol structure

a = 6.5669 Å, b = 5.3456 Å, c = 9.4620 Å
α = 90.00°, β = 90.00°, γ = 90.00°
With the nearest neighbours (Å) after each atom.
Element x y z (fractional)
Li 0.0282 0.2500 0.2290  5 Li 2.98-3.31
Li 0.1614 0.2500 0.9279  3 Li 2.98-3.30, 4 Ca 3.21-3.26
Li 0.3386 0.7500 0.4279  3 Li 2.98-3.30, 4 Ca 3.21-3.26
Li 0.4718 0.7500 0.7290  5 Li 2.98-3.31
Li 0.5282 0.2500 0.2710  5 Li 2.98-3.31
Li 0.6614 0.2500 0.5721  3 Li 2.98-3.30, 4 Ca 3.21-3.26
Li 0.8386 0.7500 0.0721  3 Li 2.98-3.30, 4 Ca 3.21-3.26
Li 0.9718 0.7500 0.7710  5 Li 2.98-3.31
Ca 0.1727 0.2500 0.5886  10 Li 3.21-3.57
Ca 0.3273 0.7500 0.0886  10 Li 3.21-3.57
Ca 0.6727 0.2500 0.9114  10 Li 3.21-3.57
Ca 0.8273 0.7500 0.4114  10 Li 3.21-3.57

As for the crystal system: orthorhombic. As for the symmetry: No. 62. Its total energy is -57.28 eV for the cell shown. The energy above the most stable polymorph in this dataset is 58 meV per atom.

=====

LaIn5Co | meta-GGA SCAN | single point on PBEsol structure

a = 4.5775 Å, b = 4.5775 Å, c = 7.5420 Å
α = 90.00°, β = 90.00°, γ = 90.00°
With the nearest neighbours (Å) after each atom.
Element x y z (fractional)
La 0.0000 0.0000 0.0000  12 In 3.24-3.28
In 0.0000 0.5000 0.3117  2 Co 2.69, 1 In 2.84
In 0.0000 0.5000 0.6883  2 Co 2.69, 1 In 2.84
In 0.5000 0.0000 0.3117  2 Co 2.69, 1 In 2.84
In 0.5000 0.0000 0.6883  2 Co 2.69, 1 In 2.84
In 0.5000 0.5000 0.0000  4 La 3.24, 8 In 3.28
Co 0.0000 0.0000 0.5000  8 In 2.69

As for the crystal system: tetragonal. As for the symmetry: No. 123. Its total energy is -229.62 eV for the cell shown.

=====

MgTe2Br | meta-GGA SCAN | single point on PBEsol structure

a = 5.2842 Å, b = 5.2842 Å, c = 5.2833 Å
α = 109.49°, β = 109.49°, γ = 109.21°
With the nearest neighbours (Å) after each atom.
Element x y z (fractional)
Mg 0.0000 0.0000 0.0000  4 Te 3.05, 2 Br 3.06
Te 0.0000 0.5000 0.5000  2 Br 3.05, 2 Mg 3.05, 2 Te 3.06
Te 0.5000 0.0000 0.5000  2 Br 3.05, 2 Mg 3.05, 2 Te 3.06
Br 0.5000 0.5000 0.0000  4 Te 3.05, 2 Mg 3.06

The energy relative to the elements, uncorrected comes out at -0.300 eV/atom. As for the crystal system: monoclinic. As for the symmetry: No. 12. Its total energy is -100.13 eV for the cell shown. The energy above the most stable polymorph in this dataset is 167 meV per atom.

=====

| no. | V (Å³/cell) | DOS(E_F) (states/eV per cell) |
| --- | --- | --- |
| 1 | 73 | 3.425 |
| 2 | 332 | 7.905 |
| 3 | 158 | 2.408 |
| 4 | 114 | 1.405 |